Record 1
{
  "formula": "Y3ErTm3S8",
  "functional": "PBE",
  "state": "relaxed",
  "lattice_angstrom": [[-1.076, -6.486, -4.074], [-2.944, 0.624, 7.125], [-3.021, 4.151, -5.810]],
  "species": ["Y", "Y", "Y", "Er", "Tm", "Tm", "Tm", "S", "S", "S", "S", "S", "S", "S", "S"],
  "fractional_positions": [[0.000, 0.000, 0.000], [0.000, 0.500, 0.000], [0.500, 0.500, 0.000], [0.000, 0.000, 0.500], [0.500, 0.000, 0.500], [0.500, 0.500, 0.500], [0.000, 0.500, 0.500], [0.252, 0.504, 0.257], [0.748, 0.496, 0.743], [0.750, 0.500, 0.254], [0.250, 0.500, 0.746], [0.750, 0.005, 0.254], [0.250, 0.995, 0.746], [0.255, 0.005, 0.254], [0.745, 0.995, 0.746]],
  "volume_a3_per_cell": 328.38,
  "spacegroup": "R-3m, No. 166",
  "dos_ef_per_ev_atom": 0.41,
  "total_energy_ev_per_atom": -6.728
}

***

Record 2
{
  "formula": "LiSi2Au",
  "functional": "PBE",
  "state": "relaxed",
  "lattice_angstrom": [[5.000, 0.080, 0.000], [-2.184, 4.498, 0.000], [0.000, 0.000, 2.749]],
  "species": ["Au", "Li", "Si", "Si"],
  "fractional_positions": [[0.500, 0.000, 0.500], [0.000, 0.500, 0.500], [0.000, 0.000, 0.000], [0.500, 0.500, 0.000]],
  "volume_a3_per_cell": 62.30,
  "spacegroup": "Cmmm, No. 65",
  "dos_ef_per_ev_atom": 0.40,
  "total_energy_ev_per_atom": -3.978
}

***

Record 3
{
  "formula": "Dy3CdCo",
  "functional": "PBE",
  "state": "relaxed",
  "lattice_angstrom": [[4.696, 0.000, 0.000], [0.000, 6.983, -0.608], [0.000, -2.205, 7.921]],
  "species": ["Dy", "Dy", "Dy", "Dy", "Dy", "Dy", "Cd", "Cd", "Co", "Co"],
  "fractional_positions": [[0.750, 0.661, 0.408], [0.250, 0.339, 0.592], [0.750, 0.300, 0.916], [0.250, 0.939, 0.732], [0.250, 0.700, 0.084], [0.750, 0.061, 0.268], [0.250, 0.296, 0.177], [0.750, 0.704, 0.823], [0.250, 0.927, 0.407], [0.750, 0.073, 0.593]],
  "delta_e_f_kj_per_mol_atoms": -17.7,
  "volume_a3_per_cell": 253.44,
  "spacegroup": "P2_1/m, No. 11",
  "dos_ef_per_ev_atom": 0.96
}

***

Record 4
{
  "formula": "NdTm5Sn3",
  "functional": "PBE",
  "state": "relaxed",
  "lattice_angstrom": [[7.410, 0.000, 0.000], [0.000, 7.410, 0.000], [-3.705, -3.705, 9.618]],
  "species": ["Nd", "Nd", "Tm", "Tm", "Tm", "Tm", "Tm", "Tm", "Tm", "Tm", "Tm", "Tm", "Sn", "Sn", "Sn", "Sn", "Sn", "Sn"],
  "fractional_positions": [[0.750, 0.250, 0.500], [0.250, 0.750, 0.500], [0.070, 0.570, 0.753], [0.683, 0.183, 0.753], [0.183, 0.070, 0.753], [0.570, 0.683, 0.753], [0.930, 0.430, 0.247], [0.317, 0.817, 0.247], [0.817, 0.930, 0.247], [0.430, 0.317, 0.247], [0.500, 0.500, 0.000], [0.000, 0.000, 0.000], [0.629, 0.129, 0.000], [0.371, 0.871, 0.000], [0.871, 0.629, 0.000], [0.129, 0.371, 0.000], [0.250, 0.250, 0.500], [0.750, 0.750, 0.500]],
  "delta_e_f_kj_per_mol_atoms": -21.7,
  "volume_a3_per_cell": 528.14,
  "spacegroup": "I4/mcm, No. 140",
  "dos_ef_per_ev_atom": 1.15
}

***

Record 5
{
  "formula": "MgTl2I4",
  "functional": "PBE",
  "state": "relaxed",
  "lattice_angstrom": [[5.804, 0.000, 0.000], [0.000, 5.804, 0.000], [2.902, 2.902, 8.679]],
  "species": ["I", "I", "I", "I", "Tl", "Tl", "Mg"],
  "fractional_positions": [[0.167, 0.167, 0.666], [0.833, 0.833, 0.334], [0.000, 0.500, 0.000], [0.500, 0.000, 0.000], [0.364, 0.364, 0.273], [0.636, 0.636, 0.727], [0.000, 0.000, 0.000]],
  "volume_a3_per_cell": 292.37,
  "spacegroup": "I4/mmm, No. 139",
  "dos_ef_per_ev_atom": 0.00,
  "total_energy_ev_per_atom": -2.540
}

***

Record 6
{
  "formula": "Ca2SnHg2Pd5",
  "functional": "PBE",
  "state": "relaxed",
  "lattice_angstrom": [[3.903, 0.000, 0.000], [0.000, 10.215, 0.000], [0.000, 0.000, 10.215]],
  "species": ["Ca", "Ca", "Ca", "Ca", "Sn", "Sn", "Hg", "Hg", "Hg", "Hg", "Pd", "Pd", "Pd", "Pd", "Pd", "Pd", "Pd", "Pd", "Pd", "Pd"],
  "fractional_positions": [[0.000, 0.669, 0.169], [0.000, 0.331, 0.831], [0.000, 0.169, 0.331], [0.000, 0.831, 0.669], [0.000, 0.000, 0.000], [0.000, 0.500, 0.500], [0.000, 0.130, 0.630], [0.000, 0.870, 0.370], [0.000, 0.630, 0.870], [0.000, 0.370, 0.130], [0.500, 0.191, 0.061], [0.500, 0.809, 0.939], [0.500, 0.061, 0.809], [0.500, 0.691, 0.439], [0.500, 0.939, 0.191], [0.500, 0.309, 0.561], [0.500, 0.561, 0.691], [0.500, 0.439, 0.309], [0.500, 0.500, 0.000], [0.500, 0.000, 0.500]],
  "delta_e_f_kj_per_mol_atoms": -50.0,
  "volume_a3_per_cell": 407.27,
  "spacegroup": "P4/mbm, No. 127",
  "dos_ef_per_ev_atom": 0.32
}